1.
Compound: AlCu2F
Source: the Alexandria database
Functional: PBE
Structure: relaxed

Calculated values
**Space-group type**: Fm-3m, No. 225
**Density of states at the Fermi level**: 6.76 states/eV per cell
**Total moment**: 0.000 μB/f.u.
**Polymorph energy (0 for the lowest one)**: 1.06 eV per formula unit
**Uncorrected formation energy**: -17 kJ/mol of atoms
**Total DFT energy (no corrections)**: -3.6279 eV/atom

Unit cell a=5.963 b=5.963 c=5.963 alpha=90.00 beta=90.00 gamma=90.00
Fractional coordinates of all 16 atoms:
Al1 0.000 0.000 0.000
Al2 0.000 0.500 0.500
Al3 0.500 0.000 0.500
Al4 0.500 0.500 0.000
Cu1 0.250 0.250 0.250
Cu2 0.250 0.250 0.750
Cu3 0.250 0.750 0.250
Cu4 0.250 0.750 0.750
Cu5 0.750 0.250 0.250
Cu6 0.750 0.250 0.750
Cu7 0.750 0.750 0.250
Cu8 0.750 0.750 0.750
F1 0.000 0.000 0.500
F2 0.000 0.500 0.000
F3 0.500 0.000 0.000
F4 0.500 0.500 0.500



2.
Compound: Al2CuF
Source: the Alexandria database
Functional: PBE
Structure: relaxed

Calculated values
**Space-group type**: I-42d, No. 122
**Density of states at the Fermi level**: 4.70 states/eV per cell
**Total moment**: 0.000 μB/f.u.
**Uncorrected formation energy**: -45 kJ/mol of atoms
**Total DFT energy (no corrections)**: -3.8318 eV/atom

Unit cell a=4.557 b=4.557 c=12.879 alpha=90.00 beta=90.00 gamma=90.00
Fractional coordinates of all 16 atoms:
Al1 0.179 0.250 0.125
Al2 0.250 0.679 0.375
Al3 0.250 0.821 0.875
Al4 0.321 0.250 0.625
Al5 0.679 0.750 0.625
Al6 0.750 0.179 0.875
Al7 0.750 0.321 0.375
Al8 0.821 0.750 0.125
Cu1 0.000 0.000 0.500
Cu2 0.000 0.500 0.750
Cu3 0.500 0.000 0.250
Cu4 0.500 0.500 0.000
F1 0.000 0.000 0.000
F2 0.000 0.500 0.250
F3 0.500 0.000 0.750
F4 0.500 0.500 0.500



3.
Compound: AlCuF2
Source: the Alexandria database
Functional: PBE
Structure: relaxed

Calculated values
**Space-group type**: R-3m, No. 166
**Density of states at the Fermi level**: 4.45 states/eV per cell
**Total moment**: 0.000 μB/f.u.
**Polymorph energy (0 for the lowest one)**: 0.35 eV per formula unit
**Uncorrected formation energy**: -125 kJ/mol of atoms
**Total DFT energy (no corrections)**: -4.1902 eV/atom

Unit cell a=2.813 b=2.813 c=27.720 alpha=90.00 beta=90.00 gamma=120.00
Fractional coordinates of all 12 atoms:
Al1 0.000 0.000 0.000
Al2 0.333 0.667 0.667
Al3 0.667 0.333 0.333
Cu1 0.000 0.000 0.500
Cu2 0.333 0.667 0.167
Cu3 0.667 0.333 0.833
F1 0.000 0.000 0.380
F2 0.000 0.000 0.620
F3 0.333 0.667 0.046
F4 0.333 0.667 0.287
F5 0.667 0.333 0.713
F6 0.667 0.333 0.954



4.
Compound: AlCu3F
Source: the Alexandria database
Functional: PBE
Structure: relaxed

Calculated values
**Space-group type**: Pm-3m, No. 221
**Density of states at the Fermi level**: 3.54 states/eV per cell
**Total moment**: 0.000 μB/f.u.
**Polymorph energy (0 for the lowest one)**: 2.34 eV per formula unit
**Uncorrected formation energy**: 53 kJ/mol of atoms
**Total DFT energy (no corrections)**: -3.0301 eV/atom

Unit cell a=4.539 b=4.539 c=4.539 alpha=90.00 beta=90.00 gamma=90.00
Fractional coordinates of all 5 atoms:
Al1 0.000 0.000 0.000
Cu1 0.000 0.000 0.500
Cu2 0.000 0.500 0.000
Cu3 0.500 0.000 0.000
F1 0.500 0.500 0.500



5.
Compound: AlCuF
Source: the Alexandria database
Functional: PBE
Structure: relaxed

Calculated values
**Space-group type**: Cm, No. 8
**Density of states at the Fermi level**: 1.76 states/eV per cell
**Total moment**: 0.000 μB/f.u.
**Polymorph energy (0 for the lowest one)**: 0.22 eV per formula unit
**Uncorrected formation energy**: -127 kJ/mol of atoms
**Total DFT energy (no corrections)**: -4.5526 eV/atom

Unit cell a=8.737 b=2.807 c=6.747 alpha=90.00 beta=91.74 gamma=90.00
Fractional coordinates of all 12 atoms:
Al1 0.000 0.000 0.000
Al2 0.094 0.000 0.511
Al3 0.500 0.500 0.000
Al4 0.594 0.500 0.511
Cu1 0.205 0.500 0.850
Cu2 0.417 0.000 0.720
Cu3 0.705 0.000 0.850
Cu4 0.917 0.500 0.720
F1 0.198 0.500 0.395
F2 0.478 0.500 0.265
F3 0.698 0.000 0.395
F4 0.978 0.000 0.265



6.
Compound: AlCuF
Source: the Alexandria database
Functional: PBE
Structure: relaxed

Calculated values
**Space-group type**: Amm2, No. 38
**Density of states at the Fermi level**: 3.05 states/eV per cell
**Total moment**: 0.000 μB/f.u.
**Polymorph energy (0 for the lowest one)**: 0.95 eV per formula unit
**Uncorrected formation energy**: -103 kJ/mol of atoms
**Total DFT energy (no corrections)**: -4.3090 eV/atom

Unit cell a=12.886 b=2.730 c=5.168 alpha=90.00 beta=90.00 gamma=90.00
Fractional coordinates of all 12 atoms:
Al1 0.144 0.000 0.000
Al2 0.144 0.500 0.500
Al3 0.856 0.000 0.000
Al4 0.856 0.500 0.500
Cu1 0.000 0.000 0.688
Cu2 0.000 0.500 0.188
Cu3 0.500 0.000 0.782
Cu4 0.500 0.500 0.282
F1 0.243 0.000 0.431
F2 0.243 0.500 0.931
F3 0.757 0.000 0.431
F4 0.757 0.500 0.931



7.
Compound: AlCuF2
Source: the Alexandria database
Functional: PBE
Structure: relaxed

Calculated values
**Space-group type**: Fm-3m, No. 225
**Density of states at the Fermi level**: 0.00 states/eV per cell
**Total moment**: 0.000 μB/f.u.
**Polymorph energy (0 for the lowest one)**: 1.93 eV per formula unit
**Uncorrected formation energy**: -87 kJ/mol of atoms
**Total DFT energy (no corrections)**: -3.7960 eV/atom

Unit cell a=5.887 b=5.887 c=5.887 alpha=90.00 beta=90.00 gamma=90.00
Fractional coordinates of all 16 atoms:
Al1 0.000 0.000 0.000
Al2 0.000 0.500 0.500
Al3 0.500 0.000 0.500
Al4 0.500 0.500 0.000
Cu1 0.000 0.000 0.500
Cu2 0.000 0.500 0.000
Cu3 0.500 0.000 0.000
Cu4 0.500 0.500 0.500
F1 0.250 0.250 0.250
F2 0.250 0.250 0.750
F3 0.250 0.750 0.250
F4 0.250 0.750 0.750
F5 0.750 0.250 0.250
F6 0.750 0.250 0.750
F7 0.750 0.750 0.250
F8 0.750 0.750 0.750



8.
Compound: AlCu2F
Source: the Alexandria database
Functional: PBE
Structure: relaxed

Calculated values
**Space-group type**: I-42d, No. 122
**Density of states at the Fermi level**: 0.49 states/eV per cell
**Total moment**: 0.000 μB/f.u.
**Polymorph energy (0 for the lowest one)**: 0.00 eV per formula unit
**Uncorrected formation energy**: -43 kJ/mol of atoms
**Total DFT energy (no corrections)**: -3.8923 eV/atom

Unit cell a=6.613 b=6.613 c=4.750 alpha=90.00 beta=90.00 gamma=90.00
Fractional coordinates of all 16 atoms:
Al1 0.000 0.000 0.000
Al2 0.000 0.500 0.250
Al3 0.500 0.000 0.750
Al4 0.500 0.500 0.500
Cu1 0.221 0.250 0.625
Cu2 0.250 0.721 0.875
Cu3 0.250 0.779 0.375
Cu4 0.279 0.250 0.125
Cu5 0.721 0.750 0.125
Cu6 0.750 0.221 0.375
Cu7 0.750 0.279 0.875
Cu8 0.779 0.750 0.625
F1 0.000 0.000 0.500
F2 0.000 0.500 0.750
F3 0.500 0.000 0.250
F4 0.500 0.500 0.000



9.
Compound: AlCuF
Source: the Alexandria database
Functional: PBE
Structure: relaxed

Calculated values
**Space-group type**: Pmmn, No. 59
**Density of states at the Fermi level**: 2.05 states/eV per cell
**Total moment**: 0.000 μB/f.u.
**Polymorph energy (0 for the lowest one)**: 0.00 eV per formula unit
**Uncorrected formation energy**: -134 kJ/mol of atoms
**Total DFT energy (no corrections)**: -4.6257 eV/atom

Unit cell a=2.705 b=3.030 c=9.734 alpha=90.00 beta=90.00 gamma=90.00
Fractional coordinates of all 6 atoms:
Al1 0.250 0.250 0.239
Al2 0.750 0.750 0.761
Cu1 0.250 0.250 0.916
Cu2 0.750 0.750 0.084
F1 0.250 0.750 0.628
F2 0.750 0.250 0.372



10.
Compound: AlCu3F
Source: the Alexandria database
Functional: PBE
Structure: relaxed

Calculated values
**Space-group type**: Pm-3m, No. 221
**Density of states at the Fermi level**: 1.50 states/eV per cell
**Total moment**: 0.000 μB/f.u.
**Polymorph energy (0 for the lowest one)**: 0.00 eV per formula unit
**Uncorrected formation energy**: 8 kJ/mol of atoms
**Total DFT energy (no corrections)**: -3.4982 eV/atom

Unit cell a=4.139 b=4.139 c=4.139 alpha=90.00 beta=90.00 gamma=90.00
Fractional coordinates of all 5 atoms:
Al1 0.000 0.000 0.000
Cu1 0.000 0.500 0.500
Cu2 0.500 0.000 0.500
Cu3 0.500 0.500 0.000
F1 0.500 0.500 0.500



11.
Compound: Hf2AlCuF
Source: the Alexandria database
Functional: PBE
Structure: relaxed

Calculated values
**Space-group type**: P4/mmm, No. 123
**Density of states at the Fermi level**: 5.42 states/eV per cell
**Total moment**: 0.000 μB/f.u.
**Uncorrected formation energy**: 20 kJ/mol of atoms
**Total DFT energy (no corrections)**: -5.7125 eV/atom

Unit cell a=5.098 b=5.098 c=3.719 alpha=90.00 beta=90.00 gamma=90.00
Fractional coordinates of all 5 atoms:
Hf1 0.000 0.500 0.000
Hf2 0.500 0.000 0.000
Al1 0.000 0.000 0.500
Cu1 0.500 0.500 0.000
F1 0.500 0.500 0.500



12.
Compound: AlCuHgF6
Source: the Alexandria database
Functional: PBE
Structure: relaxed

Calculated values
**Space-group type**: P-31c, No. 163
**Density of states at the Fermi level**: 11.10 states/eV per cell
**Total moment**: 0.213 μB/f.u.
**Uncorrected formation energy**: -217 kJ/mol of atoms
**Total DFT energy (no corrections)**: -4.4044 eV/atom

Unit cell a=5.348 b=5.348 c=10.001 alpha=90.00 beta=90.00 gamma=120.00
Fractional coordinates of all 18 atoms:
Al1 0.333 0.667 0.250
Al2 0.667 0.333 0.750
Cu1 0.333 0.667 0.750
Cu2 0.667 0.333 0.250
Hg1 0.000 0.000 0.000
Hg2 0.000 0.000 0.500
F1 0.043 0.390 0.146
F2 0.043 0.653 0.354
F3 0.347 0.390 0.354
F4 0.347 0.957 0.146
F5 0.390 0.043 0.646
F6 0.390 0.347 0.854
F7 0.610 0.653 0.146
F8 0.610 0.957 0.354
F9 0.653 0.043 0.854
F10 0.653 0.610 0.646
F11 0.957 0.347 0.646
F12 0.957 0.610 0.854



- Which value of total moment does entry 2 give?
  0.000 μB/f.u.